Record 1
# SrCa2Mo

A relaxed structure of SrCa2Mo (PBE, Alexandria via LeMat-Bulk).

Properties
crystal system = orthorhombic
polymorph energy (0 for the lowest one) = 9.8 kJ per mole of atoms
calculated density = 3.44 g/cm3
VASP energy = -0.1247 Ha/atom
symmetry = Cmm2, No. 35
D(E_F) = 5.561 states/eV per cell
ΔE_f = 734 meV per atom

abc: 3.3590 3.3590 11.3083
angles: 90.00 90.00 94.10
Fractional positions:
Ca 0.5000 0.5000 0.3014
Ca 0.0000 0.0000 0.0087
Mo 0.0000 0.0000 0.4914
Sr 0.5000 0.5000 0.6984


Record 2
# CaTmAg

A relaxed structure of CaTmAg (PBE, Alexandria via LeMat-Bulk).

Properties
crystal system = tetragonal
polymorph energy (0 for the lowest one) = 0.0 kJ per mole of atoms
calculated density = 6.19 g/cm3
VASP energy = -0.1203 Ha/atom
symmetry = I4mm, No. 107
D(E_F) = 2.089 states/eV per cell
ΔE_f = -166 meV per atom

abc: 3.6375 3.6375 6.9179
angles: 105.24 105.24 90.00
Fractional positions:
Tm 0.3009 0.3009 0.6018
Ca 0.0213 0.0213 0.0426
Ag 0.6778 0.6778 0.3556


Record 3
# NdEuZnIn

A relaxed structure of NdEuZnIn (PBE, Alexandria via LeMat-Bulk).

Properties
crystal system = cubic
calculated density = 7.03 g/cm3
VASP energy = -0.1884 Ha/atom
symmetry = F-43m, No. 216
D(E_F) = 8.155 states/eV per cell
ΔE_f = -362 meV per atom

abc: 5.4184 5.4184 5.4184
angles: 60.00 60.00 60.00
Site moments in Bohr magnetons follow the coordinates.
Fractional positions:
Nd 0.7500 0.7500 0.7500  0.09
Eu 0.2500 0.2500 0.2500  6.87
In 0.5000 0.5000 0.5000  -0.01
Zn 0.0000 0.0000 0.0000  0.01


Record 4
# Na2SrH2

A relaxed structure of Na2SrH2 (PBE, Alexandria via LeMat-Bulk).

Properties
crystal system = tetragonal
polymorph energy (0 for the lowest one) = 0.0 kJ per mole of atoms
calculated density = 1.79 g/cm3
VASP energy = -0.0829 Ha/atom
symmetry = P4/mbm, No. 127
D(E_F) = 1.168 states/eV per cell

abc: 6.8637 6.8637 5.3368
angles: 90.00 90.00 90.00
Fractional positions:
Sr 0.0000 0.0000 0.0000
Sr 0.5000 0.5000 0.0000
H 0.2029 0.7029 0.0000
H 0.7029 0.7971 0.0000
H 0.7971 0.2971 0.0000
H 0.2971 0.2029 0.0000
Na 0.6759 0.8241 0.5000
Na 0.1759 0.6759 0.5000
Na 0.8241 0.3241 0.5000
Na 0.3241 0.1759 0.5000


Record 5
# Cs3PmTh3Te8

A relaxed structure of Cs3PmTh3Te8 (PBE, Alexandria via LeMat-Bulk).

Properties
crystal system = trigonal
calculated density = 5.76 g/cm3
VASP energy = -0.1802 Ha/atom
symmetry = R-3m, No. 166
D(E_F) = 9.062 states/eV per cell

abc: 9.0289 9.0273 10.6106
angles: 115.20 90.00 120.01
Fractional positions:
Te 0.2342 0.4684 0.6965
Te 0.2341 0.9627 0.6965
Te 0.7658 0.5316 0.3035
Te 0.2666 0.5332 0.3002
Te 0.2714 0.0373 0.3035
Te 0.7659 0.0373 0.3035
Te 0.7334 0.4668 0.6998
Te 0.7286 0.9627 0.6965
Cs 0.0000 0.5000 0.0000
Cs 0.0000 0.0000 0.0000
Cs 0.5000 0.5000 0.0000
Th 0.5000 0.5000 0.5000
Th 0.5000 0.0000 0.5000
Th 0.0000 0.5000 0.5000
Pm 0.0000 0.0000 0.5000


Record 6
# Tl2IrWAu

A relaxed structure of Tl2IrWAu (PBE, Alexandria via LeMat-Bulk).

Properties
crystal system = tetragonal
calculated density = 11.53 g/cm3
VASP energy = -0.1508 Ha/atom
symmetry = P4/mmm, No. 123
D(E_F) = 6.791 states/eV per cell
ΔE_f = 1860 meV per atom

abc: 5.3516 4.9371 5.3516
angles: 90.00 90.00 90.00
Site moments in Bohr magnetons follow the coordinates.
Fractional positions:
Ir 0.5000 0.5000 0.5000  1.61
Tl 0.0000 0.0000 0.5000  0.00
Tl 0.5000 0.0000 0.0000  0.00
W 0.0000 0.0000 0.0000  0.49
Au 0.0000 0.5000 0.0000  0.01